[1]
A plane-wave DFT calculation with PBE-GGA was carried out for Ac2YAs3Rh12 after structural relaxation. Values from VASP.

```
&SYSTEM
  ibrav = 0, nat = 18, ntyp = 4
/
ATOMIC_SPECIES
Ac 227.00 Ac.upf
Y 88.91 Y.upf
As 74.92 As.upf
Rh 102.91 Rh.upf
ATOMIC_POSITIONS angstrom
Ac 0.000 0.000 1.883
Ac 0.000 0.000 11.207
Y 0.000 0.000 6.545
As -2.320 -1.340 4.363
As -2.320 1.340 8.727
As 0.000 2.679 4.363
Rh 0.000 -2.556 3.708
Rh -2.214 1.278 3.708
Rh -2.331 -1.346 6.755
Rh 0.000 -2.691 6.335
Rh -2.331 1.346 6.335
Rh -2.214 -1.278 9.382
Rh 2.214 1.278 3.708
Rh 2.331 -1.346 6.755
Rh 0.000 2.691 6.755
Rh 2.331 1.346 6.335
Rh 2.214 -1.278 9.382
Rh 0.000 2.556 9.382
CELL_PARAMETERS angstrom
4.641 2.679 4.363
-4.641 2.679 4.363
0.000 -5.358 4.363
```

Summary:
magnetic moment	0.00	μB/f.u.
E_tot	-121.1	eV per formula unit

***

[2]
A plane-wave DFT calculation with PBE-GGA was carried out for Ac2ZnAsRh6 after structural relaxation. Values from VASP.

```
&SYSTEM
  ibrav = 0, nat = 10, ntyp = 4
/
ATOMIC_SPECIES
Ac 227.00 Ac.upf
Zn 65.41 Zn.upf
As 74.92 As.upf
Rh 102.91 Rh.upf
ATOMIC_POSITIONS angstrom
Ac 1.234 1.316 1.256
Ac 9.621 4.576 4.820
Zn 4.117 2.939 0.000
As 4.115 0.007 3.038
Rh 2.577 1.509 4.363
Rh 4.291 2.467 2.538
Rh 5.423 4.628 1.405
Rh 5.431 1.263 4.670
Rh 6.564 3.424 3.537
Rh 8.277 4.383 1.712
CELL_PARAMETERS angstrom
5.609 0.000 0.000
2.624 5.877 0.000
2.622 0.014 6.075
```

Summary:
magnetic moment	0.00	μB/f.u.
E_tot	-63.1	eV per formula unit

***

[3]
A plane-wave DFT calculation with PBE-GGA was carried out for AcZrAs2Rh2 after structural relaxation. Values from VASP.

```
&SYSTEM
  ibrav = 0, nat = 6, ntyp = 4
/
ATOMIC_SPECIES
Ac 227.00 Ac.upf
Zr 91.22 Zr.upf
As 74.92 As.upf
Rh 102.91 Rh.upf
ATOMIC_POSITIONS angstrom
Ac 0.000 0.000 0.000
Zr 0.000 0.000 3.693
As 0.000 2.527 2.059
As 2.188 1.263 5.327
Rh 0.000 2.527 4.976
Rh 2.188 1.263 2.410
CELL_PARAMETERS angstrom
4.376 0.000 0.000
-2.188 3.790 0.000
0.000 0.000 7.386
```

Summary:
magnetic moment	0.00	μB/f.u.
E_tot	-42.8	eV per formula unit